This record from the Alexandria database describes a geometry-optimized V3Fe3C structure. The functional is PBE-GGA.

Unit cell a=7.5860 b=7.5860 c=7.5860 alpha=60.00 beta=60.00 gamma=60.00
With the nearest neighbours (Å) after each atom.
Element x y z (fractional)
V (0.0683, 0.0683, 0.6817)  2 C 2.03
V (0.0683, 0.6817, 0.0683)  2 C 2.03
V (0.0683, 0.6817, 0.6817)  2 C 2.03
V (0.3183, 0.3183, 0.9317)  2 C 2.03
V (0.3183, 0.9317, 0.3183)  2 C 2.03
V (0.3183, 0.9317, 0.9317)  2 C 2.03
V (0.6817, 0.0683, 0.0683)  2 C 2.03
V (0.6817, 0.0683, 0.6817)  2 C 2.03
V (0.6817, 0.6817, 0.0683)  2 C 2.03
V (0.9317, 0.3183, 0.3183)  2 C 2.03
V (0.9317, 0.3183, 0.9317)  2 C 2.03
V (0.9317, 0.9317, 0.3183)  2 C 2.03
Fe (0.0000, 0.5000, 0.5000)  6 Fe 2.30
Fe (0.2950, 0.2950, 0.2950)  6 Fe 2.30-2.43
Fe (0.2950, 0.2950, 0.6149)  6 Fe 2.30-2.43
Fe (0.2950, 0.6149, 0.2950)  6 Fe 2.30-2.43
Fe (0.3851, 0.7050, 0.7050)  6 Fe 2.30-2.43
Fe (0.5000, 0.0000, 0.5000)  6 Fe 2.30
Fe (0.5000, 0.5000, 0.0000)  6 Fe 2.30
Fe (0.5000, 0.5000, 0.5000)  6 Fe 2.30
Fe (0.6149, 0.2950, 0.2950)  6 Fe 2.30-2.43
Fe (0.7050, 0.3851, 0.7050)  6 Fe 2.30-2.43
Fe (0.7050, 0.7050, 0.3851)  6 Fe 2.30-2.43
Fe (0.7050, 0.7050, 0.7050)  6 Fe 2.30-2.43
C (0.0000, 0.0000, 0.0000)  6 V 2.03
C (0.0000, 0.0000, 0.5000)  6 V 2.03
C (0.0000, 0.5000, 0.0000)  6 V 2.03
C (0.5000, 0.0000, 0.0000)  6 V 2.03

Values from the calculation:
The calculation puts the density of states at the Fermi level at 6.70 states/eV/f.u. Its formation energy is -0.24 eV/atom. The space group is No. 227. As for the total magnetization: 1.91 μB/cell.